(1)
# LiTbPmRu PBE-GGA optimized geometry
# **E_form**: -215 meV per atom
data_LiTbPmRu
_chemical_formula_sum 'Li4 Tb4 Pm4 Ru4'
_symmetry_space_group_name_H-M 'P 1'
_symmetry_Int_Tables_number 1
_cell_length_a 7.0474
_cell_length_b 7.0474
_cell_length_c 7.0474
_cell_angle_alpha 90.00
_cell_angle_beta 90.00
_cell_angle_gamma 90.00
loop_
_symmetry_equiv_pos_as_xyz
'x,y,z'
loop_
_atom_site_label
_atom_site_type_symbol
_atom_site_fract_x
_atom_site_fract_y
_atom_site_fract_z
Li1 Li 0.0000 0.0000 0.0000
Li2 Li 0.0000 0.5000 0.5000
Li3 Li 0.5000 0.0000 0.5000
Li4 Li 0.5000 0.5000 0.0000
Tb1 Tb 0.2500 0.2500 0.7500
Tb2 Tb 0.2500 0.7500 0.2500
Tb3 Tb 0.7500 0.2500 0.2500
Tb4 Tb 0.7500 0.7500 0.7500
Pm1 Pm 0.2500 0.2500 0.2500
Pm2 Pm 0.2500 0.7500 0.7500
Pm3 Pm 0.7500 0.2500 0.7500
Pm4 Pm 0.7500 0.7500 0.2500
Ru1 Ru 0.0000 0.0000 0.5000
Ru2 Ru 0.0000 0.5000 0.0000
Ru3 Ru 0.5000 0.0000 0.0000
Ru4 Ru 0.5000 0.5000 0.5000


(2)
# LiPmTmRu PBE-GGA optimized geometry
# **E_form**: -243 meV per atom
data_LiPmTmRu
_chemical_formula_sum 'Li4 Pm4 Tm4 Ru4'
_symmetry_space_group_name_H-M 'P 1'
_symmetry_Int_Tables_number 1
_cell_length_a 6.9872
_cell_length_b 6.9872
_cell_length_c 6.9872
_cell_angle_alpha 90.00
_cell_angle_beta 90.00
_cell_angle_gamma 90.00
loop_
_symmetry_equiv_pos_as_xyz
'x,y,z'
loop_
_atom_site_label
_atom_site_type_symbol
_atom_site_fract_x
_atom_site_fract_y
_atom_site_fract_z
Li1 Li 0.0000 0.0000 0.0000
Li2 Li 0.0000 0.5000 0.5000
Li3 Li 0.5000 0.0000 0.5000
Li4 Li 0.5000 0.5000 0.0000
Pm1 Pm 0.2500 0.2500 0.7500
Pm2 Pm 0.2500 0.7500 0.2500
Pm3 Pm 0.7500 0.2500 0.2500
Pm4 Pm 0.7500 0.7500 0.7500
Tm1 Tm 0.2500 0.2500 0.2500
Tm2 Tm 0.2500 0.7500 0.7500
Tm3 Tm 0.7500 0.2500 0.7500
Tm4 Tm 0.7500 0.7500 0.2500
Ru1 Ru 0.0000 0.0000 0.5000
Ru2 Ru 0.0000 0.5000 0.0000
Ru3 Ru 0.5000 0.0000 0.0000
Ru4 Ru 0.5000 0.5000 0.5000


(3)
# LiPmYRu PBE-GGA optimized geometry
# **E_form**: -214 meV per atom
data_LiPmYRu
_chemical_formula_sum 'Li4 Pm4 Y4 Ru4'
_symmetry_space_group_name_H-M 'P 1'
_symmetry_Int_Tables_number 1
_cell_length_a 7.0470
_cell_length_b 7.0470
_cell_length_c 7.0470
_cell_angle_alpha 90.00
_cell_angle_beta 90.00
_cell_angle_gamma 90.00
loop_
_symmetry_equiv_pos_as_xyz
'x,y,z'
loop_
_atom_site_label
_atom_site_type_symbol
_atom_site_fract_x
_atom_site_fract_y
_atom_site_fract_z
Li1 Li 0.0000 0.0000 0.0000
Li2 Li 0.0000 0.5000 0.5000
Li3 Li 0.5000 0.0000 0.5000
Li4 Li 0.5000 0.5000 0.0000
Pm1 Pm 0.2500 0.2500 0.2500
Pm2 Pm 0.2500 0.7500 0.7500
Pm3 Pm 0.7500 0.2500 0.7500
Pm4 Pm 0.7500 0.7500 0.2500
Y1 Y 0.2500 0.2500 0.7500
Y2 Y 0.2500 0.7500 0.2500
Y3 Y 0.7500 0.2500 0.2500
Y4 Y 0.7500 0.7500 0.7500
Ru1 Ru 0.0000 0.0000 0.5000
Ru2 Ru 0.0000 0.5000 0.0000
Ru3 Ru 0.5000 0.0000 0.0000
Ru4 Ru 0.5000 0.5000 0.5000


(4)
# LiPmZnRu PBE-GGA optimized geometry
# **E_form**: -72 meV per atom
data_LiPmZnRu
_chemical_formula_sum 'Li4 Pm4 Zn4 Ru4'
_symmetry_space_group_name_H-M 'P 1'
_symmetry_Int_Tables_number 1
_cell_length_a 6.6268
_cell_length_b 6.6268
_cell_length_c 6.6268
_cell_angle_alpha 90.00
_cell_angle_beta 90.00
_cell_angle_gamma 90.00
loop_
_symmetry_equiv_pos_as_xyz
'x,y,z'
loop_
_atom_site_label
_atom_site_type_symbol
_atom_site_fract_x
_atom_site_fract_y
_atom_site_fract_z
Li1 Li 0.0000 0.0000 0.0000
Li2 Li 0.0000 0.5000 0.5000
Li3 Li 0.5000 0.0000 0.5000
Li4 Li 0.5000 0.5000 0.0000
Pm1 Pm 0.2500 0.2500 0.2500
Pm2 Pm 0.2500 0.7500 0.7500
Pm3 Pm 0.7500 0.2500 0.7500
Pm4 Pm 0.7500 0.7500 0.2500
Zn1 Zn 0.2500 0.2500 0.7500
Zn2 Zn 0.2500 0.7500 0.2500
Zn3 Zn 0.7500 0.2500 0.2500
Zn4 Zn 0.7500 0.7500 0.7500
Ru1 Ru 0.0000 0.0000 0.5000
Ru2 Ru 0.0000 0.5000 0.0000
Ru3 Ru 0.5000 0.0000 0.0000
Ru4 Ru 0.5000 0.5000 0.5000


(5)
# Li3Pm5S8 PBE-GGA optimized geometry
# **Formation energy (no corrections)**: -29.763 eV/f.u.
data_Li3Pm5S8
_chemical_formula_sum 'Li3 Pm5 S8'
_symmetry_space_group_name_H-M 'P 1'
_symmetry_Int_Tables_number 1
_cell_length_a 7.9035
_cell_length_b 7.9035
_cell_length_c 7.9035
_cell_angle_alpha 60.77
_cell_angle_beta 60.77
_cell_angle_gamma 60.77
loop_
_symmetry_equiv_pos_as_xyz
'x,y,z'
loop_
_atom_site_label
_atom_site_type_symbol
_atom_site_fract_x
_atom_site_fract_y
_atom_site_fract_z
Li1 Li 0.0000 0.5000 0.5000
Li2 Li 0.5000 0.0000 0.5000
Li3 Li 0.5000 0.5000 0.0000
Pm1 Pm 0.0000 0.0000 0.0000
Pm2 Pm 0.0000 0.0000 0.5000
Pm3 Pm 0.0000 0.5000 0.0000
Pm4 Pm 0.5000 0.0000 0.0000
Pm5 Pm 0.5000 0.5000 0.5000
S1 S 0.2499 0.2499 0.7428
S2 S 0.2499 0.7428 0.2499
S3 S 0.2516 0.2516 0.2516
S4 S 0.2572 0.7501 0.7501
S5 S 0.7428 0.2499 0.2499
S6 S 0.7484 0.7484 0.7484
S7 S 0.7501 0.2572 0.7501
S8 S 0.7501 0.7501 0.2572


(6)
# LiPm6S5 PBE-GGA optimized geometry
# **Formation energy (no corrections)**: -19.147 eV/f.u.
data_LiPm6S5
_chemical_formula_sum 'Li2 Pm12 S10'
_symmetry_space_group_name_H-M 'P 1'
_symmetry_Int_Tables_number 1
_cell_length_a 6.8316
_cell_length_b 6.8316
_cell_length_c 14.1286
_cell_angle_alpha 90.00
_cell_angle_beta 90.00
_cell_angle_gamma 120.00
loop_
_symmetry_equiv_pos_as_xyz
'x,y,z'
loop_
_atom_site_label
_atom_site_type_symbol
_atom_site_fract_x
_atom_site_fract_y
_atom_site_fract_z
Li1 Li 0.0000 0.0000 0.2500
Li2 Li 0.0000 0.0000 0.7500
Pm1 Pm 0.0000 0.3420 0.1153
Pm2 Pm 0.0000 0.3420 0.3847
Pm3 Pm 0.0000 0.6580 0.6153
Pm4 Pm 0.0000 0.6580 0.8847
Pm5 Pm 0.3420 0.0000 0.1153
Pm6 Pm 0.3420 0.0000 0.3847
Pm7 Pm 0.3420 0.3420 0.6153
Pm8 Pm 0.3420 0.3420 0.8847
Pm9 Pm 0.6580 0.0000 0.6153
Pm10 Pm 0.6580 0.0000 0.8847
Pm11 Pm 0.6580 0.6580 0.1153
Pm12 Pm 0.6580 0.6580 0.3847
S1 S 0.0000 0.3354 0.7500
S2 S 0.0000 0.6646 0.2500
S3 S 0.3333 0.6667 0.0000
S4 S 0.3333 0.6667 0.5000
S5 S 0.3354 0.0000 0.7500
S6 S 0.3354 0.3354 0.2500
S7 S 0.6646 0.0000 0.2500
S8 S 0.6646 0.6646 0.7500
S9 S 0.6667 0.3333 0.0000
S10 S 0.6667 0.3333 0.5000


(7)
# Li5PmS4 PBE-GGA optimized geometry
# **Formation energy (no corrections)**: -14.804 eV/f.u.
data_Li5PmS4
_chemical_formula_sum 'Li5 Pm1 S4'
_symmetry_space_group_name_H-M 'P 1'
_symmetry_Int_Tables_number 1
_cell_length_a 7.9347
_cell_length_b 7.9347
_cell_length_c 7.9347
_cell_angle_alpha 150.98
_cell_angle_beta 126.37
_cell_angle_gamma 62.13
loop_
_symmetry_equiv_pos_as_xyz
'x,y,z'
loop_
_atom_site_label
_atom_site_type_symbol
_atom_site_fract_x
_atom_site_fract_y
_atom_site_fract_z
Li1 Li 0.0000 0.0000 0.0000
Li2 Li 0.1088 0.3214 0.7874
Li3 Li 0.4660 0.6786 0.7874
Li4 Li 0.5340 0.3214 0.2126
Li5 Li 0.8912 0.6786 0.2126
Pm1 Pm 0.5000 0.0000 0.5000
S1 S 0.2303 0.5000 0.7303
S2 S 0.2888 0.7888 0.5000
S3 S 0.7112 0.2112 0.5000
S4 S 0.7697 0.5000 0.2697


(8)
# LiPm4S6 PBE-GGA optimized geometry
# **Formation energy (no corrections)**: -21.163 eV/f.u.
data_LiPm4S6
_chemical_formula_sum 'Li2 Pm8 S12'
_symmetry_space_group_name_H-M 'P 1'
_symmetry_Int_Tables_number 1
_cell_length_a 7.7967
_cell_length_b 7.7967
_cell_length_c 7.7967
_cell_angle_alpha 90.80
_cell_angle_beta 90.80
_cell_angle_gamma 90.80
loop_
_symmetry_equiv_pos_as_xyz
'x,y,z'
loop_
_atom_site_label
_atom_site_type_symbol
_atom_site_fract_x
_atom_site_fract_y
_atom_site_fract_z
Li1 Li 0.0000 0.0000 0.0000
Li2 Li 0.5000 0.5000 0.5000
Pm1 Pm 0.1344 0.7500 0.3656
Pm2 Pm 0.2500 0.2500 0.2500
Pm3 Pm 0.2500 0.6344 0.8656
Pm4 Pm 0.3656 0.1344 0.7500
Pm5 Pm 0.6344 0.8656 0.2500
Pm6 Pm 0.7500 0.3656 0.1344
Pm7 Pm 0.7500 0.7500 0.7500
Pm8 Pm 0.8656 0.2500 0.6344
S1 S 0.0604 0.9168 0.6888
S2 S 0.0832 0.3113 0.9396
S3 S 0.1888 0.4168 0.5604
S4 S 0.3113 0.9396 0.0832
S5 S 0.4168 0.5604 0.1888
S6 S 0.4396 0.8112 0.5832
S7 S 0.5604 0.1888 0.4168
S8 S 0.5832 0.4396 0.8112
S9 S 0.6888 0.0604 0.9168
S10 S 0.8112 0.5832 0.4396
S11 S 0.9168 0.6888 0.0604
S12 S 0.9396 0.0832 0.3113


(9)
# Li2PmSbS4 PBE-GGA optimized geometry
# **Formation energy (no corrections)**: -9.757 eV/f.u.
data_Li2PmSbS4
_chemical_formula_sum 'Li4 Pm2 Sb2 S8'
_symmetry_space_group_name_H-M 'P 1'
_symmetry_Int_Tables_number 1
_cell_length_a 7.8616
_cell_length_b 7.8616
_cell_length_c 7.8616
_cell_angle_alpha 120.76
_cell_angle_beta 119.41
_cell_angle_gamma 89.85
loop_
_symmetry_equiv_pos_as_xyz
'x,y,z'
loop_
_atom_site_label
_atom_site_type_symbol
_atom_site_fract_x
_atom_site_fract_y
_atom_site_fract_z
Li1 Li 0.0000 0.0000 0.0000
Li2 Li 0.5000 0.0000 0.0000
Li3 Li 0.5000 0.0000 0.5000
Li4 Li 0.5000 0.5000 0.5000
Pm1 Pm 0.0000 0.5000 0.5000
Pm2 Pm 0.5000 0.5000 0.0000
Sb1 Sb 0.0000 0.0000 0.5000
Sb2 Sb 0.0000 0.5000 0.0000
S1 S 0.2470 0.2470 0.0000
S2 S 0.2481 0.2427 0.4946
S3 S 0.2481 0.7535 0.0054
S4 S 0.2530 0.7530 0.5000
S5 S 0.7470 0.2470 0.5000
S6 S 0.7519 0.2465 0.9946
S7 S 0.7519 0.7573 0.5054
S8 S 0.7530 0.7530 0.0000


(10)
# Li3Pm3SbS8 PBE-GGA optimized geometry
# **Formation energy (no corrections)**: -21.894 eV/f.u.
data_Li3Pm3SbS8
_chemical_formula_sum 'Li3 Pm3 Sb1 S8'
_symmetry_space_group_name_H-M 'P 1'
_symmetry_Int_Tables_number 1
_cell_length_a 7.7098
_cell_length_b 7.7098
_cell_length_c 7.7098
_cell_angle_alpha 62.64
_cell_angle_beta 62.64
_cell_angle_gamma 62.64
loop_
_symmetry_equiv_pos_as_xyz
'x,y,z'
loop_
_atom_site_label
_atom_site_type_symbol
_atom_site_fract_x
_atom_site_fract_y
_atom_site_fract_z
Li1 Li 0.0000 0.5000 0.5000
Li2 Li 0.5000 0.0000 0.5000
Li3 Li 0.5000 0.5000 0.0000
Pm1 Pm 0.0000 0.0000 0.5000
Pm2 Pm 0.0000 0.5000 0.0000
Pm3 Pm 0.5000 0.0000 0.0000
Sb1 Sb 0.5000 0.5000 0.5000
S1 S 0.2514 0.2514 0.2514
S2 S 0.2621 0.2621 0.7297
S3 S 0.2621 0.7297 0.2621
S4 S 0.2703 0.7379 0.7379
S5 S 0.7297 0.2621 0.2621
S6 S 0.7379 0.2703 0.7379
S7 S 0.7379 0.7379 0.2703
S8 S 0.7486 0.7486 0.7486